The following is a GGA-PBE calculation of a relaxed TlVPbBr6 crystal, from Alexandria via LeMat-Bulk.

Spin magnetization in Bohr magnetons per cell: 2.00
Formation energy (no corrections) in eV per formula unit: -7.77
Calculated volume in Å³/cell: 328
Uncorrected energy in eV per atom: -3.6662

Geometry as extended XYZ:
```
9
Lattice="7.388 0.000 0.000 -3.694 6.398 0.000 0.000 0.000 6.937" Properties=species:S:1:pos:R:3 pbc="T T T"
Tl 0.000 0.000 0.000
V 3.694 2.133 3.469
Pb 0.000 4.265 3.469
Br 2.716 0.301 4.981
Br 1.619 2.201 1.956
Br 4.672 0.301 1.956
Br 2.597 3.895 4.981
Br 5.768 2.201 4.981
Br 4.791 3.895 1.956
```